AlGa3S | GGA-PBE | optimized geometry

a b c (Å): 4.913 4.913 4.913
angles (deg): 90.00 90.00 90.00
Positions (direct):
Al 0.000 0.000 0.000
Ga 0.000 0.500 0.500
Ga 0.500 0.000 0.500
Ga 0.500 0.500 0.000
S 0.500 0.500 0.500

Values from the calculation:
Space-group type: Pm-3m (221)
Energy relative to the elements, uncorrected, meV/atom: 450


DyHoScAu | GGA-PBE | optimized geometry

a b c (Å): 7.349 7.349 7.349
angles (deg): 90.00 90.00 90.00
Positions (direct):
Dy 0.000 0.000 0.000
Dy 0.000 0.500 0.500
Dy 0.500 0.000 0.500
Dy 0.500 0.500 0.000
Ho 0.000 0.000 0.500
Ho 0.000 0.500 0.000
Ho 0.500 0.000 0.000
Ho 0.500 0.500 0.500
Sc 0.250 0.250 0.750
Sc 0.250 0.750 0.250
Sc 0.750 0.250 0.250
Sc 0.750 0.750 0.750
Au 0.250 0.250 0.250
Au 0.250 0.750 0.750
Au 0.750 0.250 0.750
Au 0.750 0.750 0.250

Values from the calculation:
E_form, meV per atom: -196.2
Space-group type: F-43m (216)


TbSm2Te2S2 | GGA-PBE | optimized geometry

a b c (Å): 5.081 5.081 15.895
angles (deg): 90.00 90.00 90.00
Positions (direct):
Tb 0.000 0.000 0.000
Tb 0.500 0.500 0.500
Sm 0.000 0.000 0.386
Sm 0.000 0.000 0.614
Sm 0.500 0.500 0.114
Sm 0.500 0.500 0.886
Te 0.000 0.000 0.188
Te 0.000 0.000 0.812
Te 0.500 0.500 0.312
Te 0.500 0.500 0.688
S 0.000 0.500 0.000
S 0.000 0.500 0.500
S 0.500 0.000 0.000
S 0.500 0.000 0.500

Values from the calculation:
Space-group type: I4/mmm (139)
Energy relative to the elements, uncorrected, meV/atom: -1422


BaGa | GGA-PBE | optimized geometry

a b c (Å): 6.910 6.910 6.794
angles (deg): 90.00 90.00 90.00
Positions (direct):
Ba 0.183 0.183 0.000
Ba 0.317 0.683 0.500
Ba 0.683 0.317 0.500
Ba 0.817 0.817 0.000
Ga 0.127 0.127 0.500
Ga 0.373 0.627 0.000
Ga 0.627 0.373 0.000
Ga 0.873 0.873 0.500

Values from the calculation:
E_form, meV per atom: -170.7
Space-group type: P4_2/mnm (136)


LaErAl2Ga2 | GGA-PBE | optimized geometry

a b c (Å): 4.529 4.529 7.373
angles (deg): 90.00 90.00 120.00
Positions (direct):
La 0.000 0.000 0.000
Er 0.000 0.000 0.500
Al 0.333 0.667 0.727
Al 0.667 0.333 0.273
Ga 0.333 0.667 0.278
Ga 0.667 0.333 0.722

Values from the calculation:
E_form, meV per atom: -566.1
Space-group type: P-3m1 (164)


La5Mg3 | GGA-PBE | optimized geometry

a b c (Å): 9.804 9.804 6.502
angles (deg): 90.00 90.00 120.00
Positions (direct):
La 0.000 0.228 0.250
La 0.000 0.772 0.750
La 0.228 0.000 0.250
La 0.228 0.228 0.750
La 0.333 0.667 0.000
La 0.333 0.667 0.500
La 0.667 0.333 0.000
La 0.667 0.333 0.500
La 0.772 0.000 0.750
La 0.772 0.772 0.250
Mg 0.000 0.408 0.750
Mg 0.000 0.592 0.250
Mg 0.408 0.000 0.750
Mg 0.408 0.408 0.250
Mg 0.592 0.000 0.250
Mg 0.592 0.592 0.750

Values from the calculation:
E_form, meV per atom: 37.5
Space-group type: P6_3/mcm (193)


KCuBr2 | GGA-PBE | optimized geometry

a b c (Å): 5.598 5.616 7.564
angles (deg): 90.00 90.00 90.00
Positions (direct):
K 0.000 0.000 0.000
K 0.500 0.500 0.000
Cu 0.000 0.500 0.502
Cu 0.500 0.000 0.502
Br 0.000 0.000 0.578
Br 0.000 0.500 0.184
Br 0.500 0.000 0.184
Br 0.500 0.500 0.578

Values from the calculation:
Space-group type: Cmm2 (35)
Energy relative to the elements, uncorrected, meV/atom: -787


Y3TiMn | GGA-PBE | optimized geometry

a b c (Å): 5.163 5.163 5.163
angles (deg): 90.00 90.00 90.00
Positions (direct):
Y 0.000 0.000 0.500
Y 0.000 0.500 0.000
Y 0.500 0.000 0.000
Ti 0.500 0.500 0.500
Mn 0.000 0.000 0.000

Values from the calculation:
E_form, meV per atom: 553.2
Space-group type: Pm-3m (221)


MnNbHgGe2 | GGA-PBE | optimized geometry

a b c (Å): 5.058 5.058 4.934
angles (deg): 90.00 90.00 90.00
Positions (direct):
Mn 0.000 0.000 0.000
Nb 0.000 0.000 0.500
Hg 0.500 0.500 0.000
Ge 0.000 0.500 0.500
Ge 0.500 0.000 0.500

Values from the calculation:
E_form, meV per atom: 730.5
Space-group type: P4/mmm (123)


Pm2NdAg | GGA-PBE | optimized geometry

a b c (Å): 7.755 7.755 7.755
angles (deg): 90.00 90.00 90.00
Positions (direct):
Pm 0.250 0.250 0.250
Pm 0.250 0.250 0.750
Pm 0.250 0.750 0.250
Pm 0.250 0.750 0.750
Pm 0.750 0.250 0.250
Pm 0.750 0.250 0.750
Pm 0.750 0.750 0.250
Pm 0.750 0.750 0.750
Nd 0.000 0.000 0.000
Nd 0.000 0.500 0.500
Nd 0.500 0.000 0.500
Nd 0.500 0.500 0.000
Ag 0.000 0.000 0.500
Ag 0.000 0.500 0.000
Ag 0.500 0.000 0.000
Ag 0.500 0.500 0.500

Values from the calculation:
E_form, meV per atom: 97.7
Space-group type: Fm-3m (225)


CeMgPdPt | GGA-PBE | optimized geometry

a b c (Å): 6.845 6.845 6.845
angles (deg): 90.00 90.00 90.00
Positions (direct):
Ce 0.000 0.000 0.000
Ce 0.000 0.500 0.500
Ce 0.500 0.000 0.500
Ce 0.500 0.500 0.000
Mg 0.000 0.000 0.500
Mg 0.000 0.500 0.000
Mg 0.500 0.000 0.000
Mg 0.500 0.500 0.500
Pd 0.250 0.250 0.250
Pd 0.250 0.750 0.750
Pd 0.750 0.250 0.750
Pd 0.750 0.750 0.250
Pt 0.250 0.250 0.750
Pt 0.250 0.750 0.250
Pt 0.750 0.250 0.250
Pt 0.750 0.750 0.750

Values from the calculation:
E_form, meV per atom: -805.1
Space-group type: F-43m (216)


Mg2ZrBr | GGA-PBE | optimized geometry

a b c (Å): 11.732 3.326 5.039
angles (deg): 90.00 115.24 90.00
Positions (direct):
Mg 0.242 0.000 0.242
Mg 0.258 0.500 0.758
Mg 0.742 0.500 0.242
Mg 0.758 0.000 0.758
Zr 0.000 0.000 0.500
Zr 0.500 0.500 0.500
Br 0.000 0.500 0.000
Br 0.500 0.000 0.000

Values from the calculation:
Space-group type: C2/m (12)
Energy relative to the elements, uncorrected, meV/atom: -36


Dy8TmIn2 | GGA-PBE | optimized geometry

a b c (Å): 8.778 8.778 5.617
angles (deg): 102.69 102.69 119.61
Positions (direct):
Dy 0.095 0.324 0.625
Dy 0.215 0.785 0.000
Dy 0.324 0.095 0.625
Dy 0.404 0.404 0.204
Dy 0.596 0.596 0.796
Dy 0.676 0.905 0.375
Dy 0.785 0.215 0.000
Dy 0.905 0.676 0.375
Tm 0.000 0.000 0.000
In 0.307 0.693 0.500
In 0.693 0.307 0.500

Values from the calculation:
E_form, meV per atom: -37.2
Space-group type: C2/m (12)


KHgC3N3O3 | GGA-PBE | optimized geometry

a b c (Å): 10.582 4.118 17.933
angles (deg): 90.00 90.00 90.00
Positions (direct):
K 0.082 0.250 0.162
K 0.418 0.750 0.662
K 0.582 0.250 0.338
K 0.918 0.750 0.838
Hg 0.158 0.250 0.537
Hg 0.342 0.750 0.037
Hg 0.658 0.250 0.963
Hg 0.842 0.750 0.463
C 0.123 0.250 0.967
C 0.124 0.250 0.372
C 0.127 0.250 0.701
C 0.373 0.750 0.201
C 0.376 0.750 0.872
C 0.377 0.750 0.467
C 0.623 0.250 0.533
C 0.624 0.250 0.128
C 0.627 0.250 0.799
C 0.873 0.750 0.299
C 0.876 0.750 0.628
C 0.877 0.750 0.033
N 0.068 0.250 0.431
N 0.206 0.250 0.014
N 0.206 0.250 0.652
N 0.294 0.750 0.152
N 0.294 0.750 0.514
N 0.432 0.750 0.931
N 0.568 0.250 0.069
N 0.706 0.250 0.486
N 0.706 0.250 0.848
N 0.794 0.750 0.348
N 0.794 0.750 0.986
N 0.932 0.750 0.569
O 0.039 0.250 0.922
O 0.053 0.250 0.752
O 0.173 0.250 0.312
O 0.327 0.750 0.812
O 0.447 0.750 0.252
O 0.461 0.750 0.422
O 0.539 0.250 0.578
O 0.553 0.250 0.748
O 0.673 0.250 0.188
O 0.827 0.750 0.688
O 0.947 0.750 0.248
O 0.961 0.750 0.078

Values from the calculation:
Space-group type: Pnma (62)
Energy relative to the elements, uncorrected, meV/atom: -570


SrCaNi2N | GGA-PBE | optimized geometry

a b c (Å): 4.142 4.142 4.862
angles (deg): 90.00 90.00 90.00
Positions (direct):
Sr 0.000 0.000 0.000
Ca 0.500 0.500 0.000
Ni 0.000 0.500 0.500
Ni 0.500 0.000 0.500
N 0.000 0.000 0.500

Values from the calculation:
Space-group type: P4/mmm (123)
Energy relative to the elements, uncorrected, meV/atom: 327


Tm2GaFeCo6 | GGA-PBE | optimized geometry

a b c (Å): 6.149 6.149 6.149
angles (deg): 60.00 60.00 60.00
Positions (direct):
Tm 0.250 0.250 0.250
Tm 0.750 0.750 0.750
Ga 0.000 0.000 0.000
Fe 0.500 0.500 0.500
Co 0.255 0.255 0.745
Co 0.255 0.745 0.255
Co 0.255 0.745 0.745
Co 0.745 0.255 0.255
Co 0.745 0.255 0.745
Co 0.745 0.745 0.255

Values from the calculation:
E_form, meV per atom: 384.7
Space-group type: Fm-3m (225)


TbYPt | GGA-PBE | optimized geometry

a b c (Å): 3.636 15.948 5.161
angles (deg): 90.00 90.00 90.00
Positions (direct):
Tb 0.000 0.218 0.250
Tb 0.000 0.782 0.750
Tb 0.500 0.282 0.750
Tb 0.500 0.718 0.250
Y 0.000 0.072 0.750
Y 0.000 0.928 0.250
Y 0.500 0.428 0.250
Y 0.500 0.572 0.750
Pt 0.000 0.424 0.750
Pt 0.000 0.576 0.250
Pt 0.500 0.076 0.250
Pt 0.500 0.924 0.750

Values from the calculation:
E_form, meV per atom: -797.4
Space-group type: Cmcm (63)


Er2TmThSc5 | GGA-PBE | optimized geometry

a b c (Å): 10.140 10.140 9.599
angles (deg): 90.00 90.00 149.32
Positions (direct):
Er 0.105 0.895 0.500
Er 0.136 0.864 0.883
Er 0.864 0.136 0.383
Er 0.895 0.105 0.000
Tm 0.206 0.794 0.207
Tm 0.794 0.206 0.707
Th 0.404 0.596 0.604
Th 0.596 0.404 0.104
Sc 0.018 0.982 0.204
Sc 0.259 0.741 0.537
Sc 0.310 0.690 0.907
Sc 0.400 0.600 0.200
Sc 0.476 0.524 0.906
Sc 0.524 0.476 0.406
Sc 0.600 0.400 0.700
Sc 0.690 0.310 0.407
Sc 0.741 0.259 0.037
Sc 0.982 0.018 0.704

Values from the calculation:
E_form, meV per atom: 177.9
Space-group type: Cmc2_1 (36)


La2Bi2H | GGA-PBE | optimized geometry

a b c (Å): 7.769 7.769 4.934
angles (deg): 90.00 90.00 90.00
Positions (direct):
La 0.178 0.322 0.000
La 0.322 0.822 0.000
La 0.678 0.178 0.000
La 0.822 0.678 0.000
Bi 0.137 0.637 0.500
Bi 0.363 0.137 0.500
Bi 0.637 0.863 0.500
Bi 0.863 0.363 0.500
H 0.000 0.000 0.000
H 0.500 0.500 0.000

Values from the calculation:
Total DFT energy (no corrections), eV per cell: -47.9
Space-group type: P4/mbm (127)


TlZn2Mo | GGA-PBE | optimized geometry

a b c (Å): 4.142 4.142 3.959
angles (deg): 90.00 90.00 90.00
Positions (direct):
Tl 0.000 0.000 0.000
Zn 0.000 0.500 0.500
Zn 0.500 0.000 0.500
Mo 0.500 0.500 0.000

Values from the calculation:
E_form, meV per atom: 360.2
Space-group type: P4/mmm (123)